Record 1
LiAc3Ir8 (PBE, optimized geometry); volume = 234.7 Å³/cell; space group = R3m (160); formation enthalpy at 0 K = -0.43 eV per atom
1.0
2.752 1.589 8.947
-2.752 1.589 8.947
0.000 -3.178 8.947
Li Ac Ir
1 3 8
Direct
0.000 0.000 0.000
0.124 0.124 0.124
0.507 0.507 0.507
0.636 0.636 0.636
0.067 0.567 0.567
0.069 0.069 0.574
0.069 0.574 0.069
0.319 0.319 0.319
0.567 0.067 0.567
0.567 0.567 0.067
0.574 0.069 0.069
0.819 0.819 0.819

---

Record 2
LiAc3Ir (PBE, optimized geometry); volume = 205.9 Å³/cell; relative energy among the computed polymorphs = 0.044 eV/atom; space group = Pm-3m (221); formation enthalpy at 0 K = -0.25 eV per atom
1.0
5.905 0.000 0.000
0.000 5.905 0.000
0.000 0.000 5.905
Li Ac Ir
1 3 1
Direct
0.000 0.000 0.000
0.000 0.500 0.500
0.500 0.000 0.500
0.500 0.500 0.000
0.500 0.500 0.500

---

Record 3
LiAc6Ir4 (PBE, optimized geometry); volume = 318.6 Å³/cell; space group = Cm (8); formation enthalpy at 0 K = -0.47 eV per atom
1.0
4.342 -4.342 0.000
4.342 4.342 0.000
-4.334 0.000 8.450
Li Ac Ir
1 6 4
Direct
0.000 0.000 0.000
0.000 0.501 0.003
0.089 0.089 0.645
0.447 0.913 0.361
0.501 0.000 0.003
0.554 0.554 0.645
0.913 0.447 0.361
0.091 0.642 0.735
0.361 0.361 0.271
0.642 0.091 0.735
0.910 0.910 0.271

---

Record 4
Li7Ac3Ir4 (PBE, optimized geometry); volume = 281.7 Å³/cell; space group = C2/m (12); formation enthalpy at 0 K = -0.26 eV per atom
1.0
8.076 -2.106 0.000
8.076 2.106 0.000
-6.017 0.000 8.279
Li Ac Ir
7 3 4
Direct
0.000 0.000 0.000
0.167 0.167 0.922
0.328 0.328 0.498
0.486 0.486 0.212
0.514 0.514 0.788
0.672 0.672 0.502
0.833 0.833 0.078
0.000 0.000 0.500
0.300 0.300 0.771
0.700 0.700 0.229
0.108 0.108 0.316
0.337 0.337 0.247
0.663 0.663 0.753
0.892 0.892 0.684